The following is a PBE calculation of a geometry-optimized EuDyEr4 structure, from the Alexandria database.

Properties
E_form	0.25	eV per atom
Fermi-level density of states	1.37	states/eV per atom

CIF file:
```
data_EuDyEr4
_chemical_formula_sum 'Eu4 Dy4 Er16'
_space_group_name_H-M_alt 'F -4 3 m'
_space_group_IT_number 216
_space_group_name_Hall 'F -4 2 3'
_cell_length_a 9.3715
_cell_length_b 9.3715
_cell_length_c 9.3715
_cell_angle_alpha 90.00
_cell_angle_beta 90.00
_cell_angle_gamma 90.00
loop_
_atom_site_label
_atom_site_fract_x
_atom_site_fract_y
_atom_site_fract_z
Eu1 0.0000 0.0000 0.0000
Dy1 0.2500 0.2500 0.2500
Er1 0.1235 0.1235 0.6235
```

The following is a PBE calculation of a geometry-optimized Cd2CoTe structure, from the Alexandria database.

Properties
E_tot	-2.745	eV per atom
Fermi-level density of states	1.20	states/eV per atom

CIF file:
```
data_Cd2CoTe
_chemical_formula_sum 'Cd2 Co1 Te1'
_space_group_name_H-M_alt 'P 4/m m m'
_space_group_IT_number 123
_space_group_name_Hall '-P 4 2'
_cell_length_a 3.0856
_cell_length_b 3.0856
_cell_length_c 9.2479
_cell_angle_alpha 90.00
_cell_angle_beta 90.00
_cell_angle_gamma 90.00
loop_
_atom_site_label
_atom_site_fract_x
_atom_site_fract_y
_atom_site_fract_z
Cd1 0.0000 0.0000 0.1743
Co1 0.5000 0.5000 0.0000
Te1 0.5000 0.5000 0.5000
```

The following is a PBE calculation of a geometry-optimized PrSc2UO8 structure, from the Alexandria database.

Properties
E_tot	-8.810	eV per atom
Fermi-level density of states	0.35	states/eV per atom

CIF file:
```
data_PrSc2UO8
_chemical_formula_sum 'Pr2 Sc4 U2 O16'
_space_group_name_H-M_alt 'C m m m'
_space_group_IT_number 65
_space_group_name_Hall '-C 2 2'
_cell_length_a 6.9628
_cell_length_b 6.9633
_cell_length_c 7.0328
_cell_angle_alpha 90.00
_cell_angle_beta 90.00
_cell_angle_gamma 90.00
loop_
_atom_site_label
_atom_site_fract_x
_atom_site_fract_y
_atom_site_fract_z
Pr1 0.0000 0.0000 0.0000
Sc1 0.0000 0.5000 0.2602
U1 0.0000 0.0000 0.5000
O1 0.0000 0.1969 0.2789
O2 0.1660 0.5000 0.0000
O3 0.1959 0.5000 0.5000
```

The following is a PBE calculation of a geometry-optimized Pr2HPt6Rh structure, from the Alexandria database.

Properties
E_tot	-6.101	eV per atom
Fermi-level density of states	0.69	states/eV per atom

CIF file:
```
data_Pr2HPt6Rh
_chemical_formula_sum 'Pr4 H2 Pt12 Rh2'
_space_group_name_H-M_alt 'I 4/m m m'
_space_group_IT_number 139
_space_group_name_Hall '-I 4 2'
_cell_length_a 6.3974
_cell_length_b 6.3974
_cell_length_c 9.0250
_cell_angle_alpha 90.00
_cell_angle_beta 90.00
_cell_angle_gamma 90.00
loop_
_atom_site_label
_atom_site_fract_x
_atom_site_fract_y
_atom_site_fract_z
Pr1 0.0000 0.5000 0.2500
H1 0.0000 0.0000 0.0000
Pt1 0.0000 0.0000 0.2203
Pt2 0.2207 0.2207 0.0000
Rh1 0.0000 0.0000 0.5000
```

The following is a PBE calculation of a geometry-optimized Mg2InW structure, from the Alexandria database.

Properties
E_form	0.51	eV per atom
Fermi-level density of states	0.61	states/eV per atom

CIF file:
```
data_Mg2InW
_chemical_formula_sum 'Mg2 In1 W1'
_space_group_name_H-M_alt 'P 4 m m'
_space_group_IT_number 99
_cell_length_a 3.3724
_cell_length_b 3.3724
_cell_length_c 6.8282
_cell_angle_alpha 90.00
_cell_angle_beta 90.00
_cell_angle_gamma 90.00
loop_
_space_group_symop_operation_xyz
'x,y,z'
'-y,x,z'
'-x,-y,z'
'y,-x,z'
'-x,y,z'
'y,x,z'
'x,-y,z'
'-y,-x,z'
loop_
_atom_site_label
_atom_site_fract_x
_atom_site_fract_y
_atom_site_fract_z
Mg1 0.0000 0.0000 0.0000
Mg2 0.5000 0.5000 0.2593
In1 0.5000 0.5000 0.7260
W1 0.0000 0.0000 0.4804
```

The following is a PBE calculation of a geometry-optimized B2MoIr2 structure, from the Alexandria database.

Properties
E_form	-0.01	eV per atom
Fermi-level density of states	0.51	states/eV per atom

CIF file:
```
data_B2MoIr2
_chemical_formula_sum 'B4 Mo2 Ir4'
_space_group_name_H-M_alt 'P 4/m b m'
_space_group_IT_number 127
_space_group_name_Hall '-P 4 2ab'
_cell_length_a 6.5040
_cell_length_b 6.5040
_cell_length_c 2.7006
_cell_angle_alpha 90.00
_cell_angle_beta 90.00
_cell_angle_gamma 90.00
loop_
_atom_site_label
_atom_site_fract_x
_atom_site_fract_y
_atom_site_fract_z
B1 0.1534 0.3466 0.0000
Mo1 0.0000 0.0000 0.0000
Ir1 0.1505 0.6505 0.5000
```

The following is a PBE calculation of a geometry-optimized KPtPb structure, from the Alexandria database.

Properties
E_form	-0.27	eV per atom
Fermi-level density of states	0.38	states/eV per atom

CIF file:
```
data_KPtPb
_chemical_formula_sum 'K4 Pt4 Pb4'
_space_group_name_H-M_alt 'C 1 2/m 1'
_space_group_IT_number 12
_cell_length_a 12.7501
_cell_length_b 4.6573
_cell_length_c 6.2962
_cell_angle_alpha 90.00
_cell_angle_beta 101.71
_cell_angle_gamma 90.00
loop_
_space_group_symop_operation_xyz
'x,y,z'
'-x,-y,-z'
'-x,y,-z'
'x,-y,z'
'x+1/2,y+1/2,z'
'-x+1/2,-y+1/2,-z'
'-x+1/2,y+1/2,-z'
'x+1/2,-y+1/2,z'
loop_
_atom_site_label
_atom_site_fract_x
_atom_site_fract_y
_atom_site_fract_z
K1 0.1306 0.0000 0.3536
Pt1 0.2030 0.0000 0.9020
Pb1 0.0883 0.5000 0.8323
```

The following is a PBE calculation of a geometry-optimized Ca2ZnPt2 structure, from the Alexandria database.

Properties
E_form	-0.63	eV per atom
Fermi-level density of states	0.42	states/eV per atom

CIF file:
```
data_Ca2ZnPt2
_chemical_formula_sum 'Ca4 Zn2 Pt4'
_space_group_name_H-M_alt 'I 4/m m m'
_space_group_IT_number 139
_space_group_name_Hall '-I 4 2'
_cell_length_a 5.6284
_cell_length_b 5.6284
_cell_length_c 7.6252
_cell_angle_alpha 90.00
_cell_angle_beta 90.00
_cell_angle_gamma 90.00
loop_
_atom_site_label
_atom_site_fract_x
_atom_site_fract_y
_atom_site_fract_z
Ca1 0.0000 0.5000 0.2500
Zn1 0.0000 0.0000 0.0000
Pt1 0.0000 0.0000 0.3288
```

- Which value of Fermi-level density of states does entry 8 give?
  0.42 states/eV per atom

- Fermi-level density of states of number 8 (Ca2ZnPt2)?
  0.42 states/eV per atom